Entry 1:
A plane-wave DFT calculation with GGA-PBE was carried out for crystalline Li2CoRh at its relaxed geometry.

The space group is Pmm2 (No. 25) and the conventional cell measures 2.621, 3.859 and 5.238 Å, with angles of 90.00, 90.00 and 90.00 degrees. The inequivalent atoms are Li at (0.000, 0.000, 0.000), Li at (0.500, 0.500, 0.240), Co at (0.500, 0.500, 0.707) and Rh at (0.000, 0.000, 0.524).

The energy of formation comes out at 0.06 eV/f.u. The distance to the lowest polymorph of the same formula is 52 meV per atom. The energy is -4.56 eV/atom.

***

Entry 2:
A plane-wave DFT calculation with GGA-PBE was carried out for crystalline Hf3TiRu at its relaxed geometry.

The space group is Pm-3m (No. 221) and the conventional cell measures 4.769, 4.769 and 4.769 Å, with angles of 90.00, 90.00 and 90.00 degrees. The inequivalent atoms are Hf at (0.000, 0.000, 0.500), Ti at (0.000, 0.000, 0.000) and Ru at (0.500, 0.500, 0.500).

The energy of formation comes out at 5.65 eV/f.u. The distance to the lowest polymorph of the same formula is 642 meV per atom. The energy is -8.28 eV/atom.